Crystalline Nb2SeI at its relaxed geometry. Source: Alexandria, functional GGA-PBE.

Calculated values
DOS at the Fermi energy: 5.32 states/eV/cell
spin magnetization: 7.83 μB/cell
uncorrected formation energy: 0.58 eV per atom
volume: 114.8 Å³/f.u.
total DFT energy (no corrections): -5.71 eV/atom

a = 7.5584 Å, b = 7.5584 Å, c = 7.5584 Å
α = 132.61°, β = 132.61°, γ = 69.27°
Element x y z (fractional)
Nb1 0.0878 0.6250 0.9628
Nb2 0.3750 0.3378 0.4628
Nb3 0.6622 0.1250 0.0372
Nb4 0.8750 0.9122 0.5372
Se1 0.0000 0.0000 0.0000
Se2 0.7500 0.2500 0.5000
I1 0.2500 0.7500 0.5000
I2 0.5000 0.5000 0.0000